1.
Pr3Sm2Dy8 (PBE-GGA, optimized geometry); raw total energy = -60.36 eV per formula unit; crystal system = triclinic; relative energy among the computed polymorphs = 0.000 eV per atom
1.0
6.219 0.000 0.000
-1.044 7.971 0.000
-0.002 -4.047 8.606
Pr Sm Dy
3 2 8
Direct
0.000 0.000 0.000
0.461 0.767 0.845
0.539 0.233 0.155
0.383 0.306 0.539
0.617 0.694 0.461
0.078 0.465 0.309
0.153 0.924 0.614
0.229 0.385 0.923
0.309 0.845 0.233
0.691 0.155 0.767
0.771 0.615 0.077
0.847 0.076 0.386
0.922 0.535 0.691

***

2.
MgCuTe2 (PBE-GGA, optimized geometry); raw total energy = -13.13 eV per formula unit; crystal system = tetragonal; relative energy among the computed polymorphs = 0.056 eV per atom
1.0
3.798 0.000 0.000
0.000 3.798 0.000
0.000 0.000 7.533
Mg Cu Te
1 1 2
Direct
0.000 0.000 0.000
0.500 0.500 0.765
0.000 0.000 0.634
0.500 0.500 0.130

***

3.
Si2AsSe (PBE-GGA, optimized geometry); raw total energy = -16.49 eV per formula unit; crystal system = trigonal; relative energy among the computed polymorphs = 0.638 eV per atom
1.0
2.920 0.000 0.000
-1.460 2.529 0.000
0.000 0.000 29.297
Si As Se
6 3 3
Direct
0.000 0.000 0.250
0.000 0.000 0.750
0.333 0.667 0.416
0.333 0.667 0.917
0.667 0.333 0.083
0.667 0.333 0.584
0.000 0.000 0.000
0.333 0.667 0.667
0.667 0.333 0.333
0.000 0.000 0.500
0.333 0.667 0.167
0.667 0.333 0.833

***

4.
LaCrMo2 (PBE-GGA, optimized geometry); raw total energy = -33.53 eV per formula unit; crystal system = orthorhombic; relative energy among the computed polymorphs = 0.258 eV per atom
1.0
3.341 0.000 0.000
0.000 4.992 0.000
0.000 0.000 9.630
La Cr Mo
2 2 4
Direct
0.000 0.000 0.000
0.500 0.500 0.500
0.000 0.500 0.772
0.500 0.000 0.272
0.000 0.000 0.545
0.000 0.500 0.235
0.500 0.000 0.735
0.500 0.500 0.045

***

5.
CsAlBiPd2 (PBE-GGA, optimized geometry); raw total energy = -18.10 eV per formula unit; crystal system = tetragonal
1.0
5.093 0.000 0.000
0.000 5.093 0.000
0.000 0.000 5.455
Cs Al Bi Pd
1 1 1 2
Direct
0.000 0.000 0.000
0.500 0.500 0.500
0.500 0.500 0.000
0.000 0.500 0.500
0.500 0.000 0.500

***

6.
Ba2MoOs4 (PBE-GGA, optimized geometry); raw total energy = -48.12 eV per formula unit; crystal system = tetragonal
1.0
4.847 0.000 0.000
0.000 4.847 0.000
0.000 0.000 16.323
Ba Mo Os
4 2 8
Direct
0.000 0.000 0.148
0.000 0.000 0.852
0.500 0.500 0.352
0.500 0.500 0.648
0.000 0.000 0.500
0.500 0.500 0.000
0.000 0.000 0.356
0.000 0.000 0.644
0.000 0.500 0.000
0.000 0.500 0.500
0.500 0.000 0.000
0.500 0.000 0.500
0.500 0.500 0.144
0.500 0.500 0.856

***

7.
SbHBr2 (PBE-GGA, optimized geometry); raw total energy = -9.04 eV per formula unit; crystal system = tetragonal; relative energy among the computed polymorphs = 0.216 eV per atom
1.0
6.192 0.000 0.000
0.000 6.192 0.000
0.000 0.000 9.864
Sb H Br
4 4 8
Direct
0.000 0.000 0.000
0.000 0.500 0.250
0.500 0.000 0.750
0.500 0.500 0.500
0.000 0.000 0.500
0.000 0.500 0.750
0.500 0.000 0.250
0.500 0.500 0.000
0.131 0.250 0.625
0.250 0.631 0.875
0.250 0.869 0.375
0.369 0.250 0.125
0.631 0.750 0.125
0.750 0.131 0.375
0.750 0.369 0.875
0.869 0.750 0.625

***

8.
Pm2BeC2 (PBE-GGA, optimized geometry); raw total energy = -32.11 eV per formula unit; crystal system = monoclinic; relative energy among the computed polymorphs = 0.000 eV per atom
1.0
5.547 -2.622 0.000
5.547 2.622 0.000
-4.939 0.000 5.775
Pm Be C
4 2 4
Direct
0.100 0.100 0.310
0.327 0.327 0.948
0.673 0.673 0.052
0.900 0.900 0.690
0.380 0.380 0.353
0.620 0.620 0.647
0.179 0.179 0.080
0.441 0.441 0.639
0.559 0.559 0.361
0.821 0.821 0.920

***

9.
K3ZrU2Se6 (PBE-GGA, optimized geometry); raw total energy = -70.52 eV per formula unit; crystal system = monoclinic
1.0
3.561 -6.169 0.000
3.561 6.169 0.000
-2.377 0.000 7.795
K Zr U Se
3 1 2 6
Direct
0.000 0.000 0.000
0.332 0.668 0.000
0.668 0.332 0.000
0.500 0.500 0.500
0.167 0.833 0.500
0.833 0.167 0.500
0.109 0.431 0.293
0.247 0.247 0.708
0.431 0.109 0.293
0.569 0.891 0.707
0.753 0.753 0.292
0.891 0.569 0.707

***

10.
ZnNi2C (PBE-GGA, optimized geometry); raw total energy = -18.55 eV per formula unit; crystal system = cubic; relative energy among the computed polymorphs = 0.578 eV per atom
1.0
5.462 0.000 0.000
0.000 5.462 0.000
0.000 0.000 5.462
Zn Ni C
4 8 4
Direct
0.000 0.000 0.000
0.000 0.500 0.500
0.500 0.000 0.500
0.500 0.500 0.000
0.250 0.250 0.250
0.250 0.250 0.750
0.250 0.750 0.250
0.250 0.750 0.750
0.750 0.250 0.250
0.750 0.250 0.750
0.750 0.750 0.250
0.750 0.750 0.750
0.000 0.000 0.500
0.000 0.500 0.000
0.500 0.000 0.000
0.500 0.500 0.500

***

11.
Ce2NdHo6Er3 (PBE-GGA, optimized geometry); raw total energy = -57.17 eV per formula unit; crystal system = monoclinic
1.0
3.057 -5.294 0.000
3.057 5.294 0.000
-2.039 0.000 11.517
Ce Nd Ho Er
2 1 6 3
Direct
0.167 0.833 0.000
0.833 0.167 0.000
0.500 0.500 0.000
0.080 0.416 0.749
0.248 0.248 0.251
0.416 0.080 0.749
0.584 0.920 0.251
0.752 0.752 0.749
0.920 0.584 0.251
0.000 0.000 0.500
0.334 0.666 0.500
0.666 0.334 0.500

***

12.
Np3CoAg3S8 (PBE-GGA, optimized geometry); raw total energy = -98.04 eV per formula unit; crystal system = trigonal
1.0
3.867 2.233 6.247
-3.867 2.233 6.247
0.000 -4.466 6.247
Np Co Ag S
3 1 3 8
Direct
0.000 0.500 0.500
0.500 0.000 0.500
0.500 0.500 0.000
0.000 0.000 0.000
0.000 0.000 0.500
0.000 0.500 0.000
0.500 0.000 0.000
0.223 0.223 0.772
0.223 0.772 0.223
0.228 0.777 0.777
0.253 0.253 0.253
0.747 0.747 0.747
0.772 0.223 0.223
0.777 0.228 0.777
0.777 0.777 0.228

***

13.
Tc2HgIrI (PBE-GGA, optimized geometry); raw total energy = -21.84 eV per formula unit; crystal system = tetragonal
1.0
4.877 0.000 0.000
0.000 4.877 0.000
0.000 0.000 4.867
Tc Hg Ir I
2 1 1 1
Direct
0.000 0.500 0.000
0.500 0.000 0.000
0.000 0.000 0.500
0.500 0.500 0.500
0.500 0.500 0.000

***

14.
ScCuCl3 (PBE-GGA, optimized geometry); raw total energy = -18.96 eV per formula unit; crystal system = cubic; relative energy among the computed polymorphs = 0.348 eV per atom
1.0
4.770 0.000 0.000
0.000 4.770 0.000
0.000 0.000 4.770
Sc Cu Cl
1 1 3
Direct
0.000 0.000 0.000
0.500 0.500 0.500
0.000 0.500 0.500
0.500 0.000 0.500
0.500 0.500 0.000

***

15.
Hf2Fe5CoB2 (PBE-GGA, optimized geometry); raw total energy = -86.44 eV per formula unit; crystal system = tetragonal
1.0
8.635 0.000 0.000
0.000 8.635 0.000
0.000 0.000 3.067
Hf Fe Co B
4 10 2 4
Direct
0.176 0.324 0.000
0.324 0.824 0.000
0.676 0.176 0.000
0.824 0.676 0.000
0.000 0.500 0.500
0.067 0.784 0.500
0.216 0.067 0.500
0.284 0.567 0.500
0.433 0.284 0.500
0.500 0.000 0.500
0.567 0.716 0.500
0.716 0.433 0.500
0.784 0.933 0.500
0.933 0.216 0.500
0.000 0.000 0.000
0.500 0.500 0.000
0.121 0.621 0.000
0.379 0.121 0.000
0.621 0.879 0.000
0.879 0.379 0.000

***

16.
ErPuSbSe (PBE-GGA, optimized geometry); raw total energy = -31.52 eV per formula unit; crystal system = trigonal
1.0
4.261 0.000 0.000
-2.131 3.690 0.000
0.000 0.000 20.722
Er Pu Sb Se
3 3 3 3
Direct
0.000 0.000 0.000
0.333 0.667 0.667
0.667 0.333 0.333
0.000 0.000 0.509
0.333 0.667 0.176
0.667 0.333 0.843
0.000 0.000 0.752
0.333 0.667 0.419
0.667 0.333 0.086
0.000 0.000 0.256
0.333 0.667 0.923
0.667 0.333 0.590

***

17.
Sm4DyY3 (PBE-GGA, optimized geometry); raw total energy = -42.72 eV per formula unit; crystal system = orthorhombic; relative energy among the computed polymorphs = 0.000 eV per atom
1.0
11.482 0.000 0.000
0.000 7.335 0.000
0.000 0.000 6.337
Sm Dy Y
8 2 6
Direct
0.000 0.126 0.000
0.000 0.874 0.500
0.250 0.126 0.331
0.250 0.874 0.831
0.500 0.126 0.000
0.500 0.874 0.500
0.750 0.126 0.331
0.750 0.874 0.831
0.000 0.376 0.497
0.500 0.624 0.997
0.000 0.623 0.997
0.250 0.376 0.832
0.250 0.624 0.332
0.500 0.377 0.497
0.750 0.376 0.832
0.750 0.624 0.332

***

18.
InTeOsN2 (PBE-GGA, optimized geometry); raw total energy = -22.73 eV per formula unit; crystal system = tetragonal; relative energy among the computed polymorphs = 1.512 eV per atom
1.0
4.111 0.000 0.000
0.000 4.111 0.000
0.000 0.000 6.373
In Te Os N
1 1 1 2
Direct
0.000 0.000 0.000
0.000 0.000 0.500
0.500 0.500 0.500
0.000 0.500 0.000
0.500 0.000 0.000

***

19.
NaPm2Pb (PBE-GGA, optimized geometry); raw total energy = -14.90 eV per formula unit; crystal system = tetragonal; relative energy among the computed polymorphs = 0.124 eV per atom
1.0
3.923 0.000 0.000
0.000 3.923 0.000
0.000 0.000 8.234
Na Pm Pb
1 2 1
Direct
0.000 0.000 0.000
0.500 0.500 0.270
0.500 0.500 0.730
0.000 0.000 0.500

***

20.
YNb2SbC (PBE-GGA, optimized geometry); raw total energy = -41.16 eV per formula unit; crystal system = tetragonal
1.0
4.354 0.000 0.000
0.000 4.354 0.000
0.000 0.000 4.935
Y Nb Sb C
1 2 1 1
Direct
0.000 0.000 0.000
0.000 0.500 0.500
0.500 0.000 0.500
0.500 0.500 0.000
0.000 0.000 0.500